# K2InMo, relaxed, DFT PBE
# ρ = 4.6 g/cm3
# volume = 208.12 Å³ per cell
# calculated formation energy = 0.99 eV/atom
# D(E_F) = 3.12 states/eV/f.u.
# magnetic moment = 1.00 μB/f.u.
data_K2InMo
_chemical_formula_sum 'K4 In2 Mo2'
_space_group_name_H-M_alt 'C 1 2/m 1'
_space_group_IT_number 12
_cell_length_a 12.537
_cell_length_b 3.108
_cell_length_c 5.391
_cell_angle_alpha 90.00
_cell_angle_beta 97.83
_cell_angle_gamma 90.00
loop_
_space_group_symop_operation_xyz
'x,y,z'
'-x,-y,-z'
'-x,y,-z'
'x,-y,z'
'x+1/2,y+1/2,z'
'-x+1/2,-y+1/2,-z'
'-x+1/2,y+1/2,-z'
'x+1/2,-y+1/2,z'
loop_
_atom_site_label
_atom_site_fract_x
_atom_site_fract_y
_atom_site_fract_z
K1 0.245 0.000 0.250
In1 0.000 0.500 0.000
Mo1 0.000 0.000 0.500